Record 1
Material: La5Ho2In5
Method: DFT, PBE-GGA
State: relaxed

Output
* uncorrected energy: -0.15785 hartree per atom
* calculated formation energy: -0.338 eV/atom

Structure (POSCAR):
```
La5Ho2In5
1.0
5.098 -2.741 0.000
5.098 2.741 0.000
-3.671 0.000 13.358
La Ho In
5 2 5
Cartesian
0.000 0.000 0.000
1.669 0.000 6.834
3.639 0.000 2.490
2.887 0.000 10.868
4.857 0.000 6.524
-0.613 0.000 9.448
7.138 0.000 3.910
-1.835 0.000 6.679
0.238 0.000 3.793
-0.413 0.000 12.497
6.939 0.000 0.861
6.288 0.000 9.564
```


Record 2
Material: LaHo3In3
Method: DFT, PBE-GGA
State: relaxed

Output
* uncorrected energy: -0.15319 hartree per atom
* relative energy among the computed polymorphs: 0.037 eV/atom
* calculated formation energy: -0.329 eV/atom

Structure (POSCAR):
```
LaHo3In3
1.0
9.378 0.000 0.000
0.000 9.378 0.000
0.000 0.000 9.378
La Ho In
4 12 12
Cartesian
0.441 4.248 5.130
4.248 5.130 0.441
5.130 0.441 4.248
8.937 8.937 8.937
1.131 5.820 8.247
1.573 1.573 1.573
1.884 7.494 2.805
2.805 1.884 7.494
3.116 7.805 6.262
3.558 3.558 3.558
5.820 8.247 1.131
6.262 3.116 7.805
6.573 6.573 6.573
7.494 2.805 1.884
7.805 6.262 3.116
8.247 1.131 5.820
0.049 7.550 5.603
0.913 4.640 1.828
1.828 0.913 4.640
2.861 8.465 9.329
3.776 4.738 6.517
4.640 1.828 0.913
4.738 6.517 3.776
5.603 0.049 7.550
6.517 3.776 4.738
7.550 5.603 0.049
8.465 9.329 2.861
9.329 2.861 8.465
```


Record 3
Material: La8HoIn2
Method: DFT, PBE-GGA
State: relaxed

Output
* uncorrected energy: -0.17038 hartree per atom
* relative energy among the computed polymorphs: 0.000 eV/atom
* calculated formation energy: -0.139 eV/atom

Structure (POSCAR):
```
La8HoIn2
1.0
-2.651 4.574 7.848
2.651 -4.574 7.848
2.651 4.574 -7.848
La Ho In
8 1 2
Cartesian
2.651 2.593 -2.494
0.000 0.000 2.341
0.000 3.014 0.000
2.651 2.593 2.494
0.000 1.982 5.354
0.000 6.135 0.000
0.000 0.000 13.355
0.000 1.982 10.342
2.651 0.000 0.000
2.651 0.000 4.749
0.000 4.574 3.098
```


Record 4
Material: LaHoIn3
Method: DFT, PBE-GGA
State: relaxed

Output
* uncorrected energy: -0.14728 hartree per atom
* relative energy among the computed polymorphs: 0.000 eV/atom
* calculated formation energy: -0.464 eV/atom

Structure (POSCAR):
```
LaHoIn3
1.0
1.890 -14.876 0.000
1.890 14.876 0.000
0.000 0.000 4.953
La Ho In
2 2 6
Cartesian
1.890 12.648 3.715
1.890 -12.648 1.238
1.890 8.544 1.238
1.890 -8.544 3.715
1.890 5.390 1.238
1.890 3.678 3.715
1.890 0.742 3.715
1.890 -0.742 1.238
1.890 -3.678 1.238
1.890 -5.390 3.715
```


Record 5
Material: La2Ho7In2
Method: DFT, PBE-GGA
State: relaxed

Output
* uncorrected energy: -0.15893 hartree per atom
* calculated formation energy: -0.018 eV/atom

Structure (POSCAR):
```
La2Ho7In2
1.0
4.510 -4.688 0.000
4.510 4.688 0.000
-2.364 0.000 8.151
La Ho In
2 7 2
Cartesian
4.510 2.971 0.000
4.510 -2.971 0.000
-1.182 0.000 4.076
2.094 1.833 2.761
0.460 0.000 8.033
4.561 1.833 5.391
2.094 -1.833 2.761
6.195 0.000 0.118
4.561 -1.833 5.391
1.876 0.000 5.376
4.780 0.000 2.775
```


Record 6
Material: La6Ho5In
Method: DFT, PBE-GGA
State: relaxed

Output
* uncorrected energy: -0.17100 hartree per atom
* calculated formation energy: -0.054 eV/atom

Structure (POSCAR):
```
La6Ho5In
1.0
-2.575 4.983 7.772
2.575 -4.983 7.772
2.575 4.983 -7.772
La Ho In
6 5 1
Cartesian
2.575 2.454 -2.601
0.000 2.436 0.000
2.575 2.454 2.601
0.000 2.530 5.171
0.000 7.530 0.000
0.000 2.530 10.373
0.000 0.000 2.618
2.575 0.000 5.213
0.000 0.000 7.772
0.000 4.983 2.559
0.000 0.000 12.926
2.575 0.000 0.000
```


Record 7
Material: LaHo3In2
Method: DFT, PBE-GGA
State: relaxed

Output
* uncorrected energy: -0.15736 hartree per atom
* relative energy among the computed polymorphs: 0.088 eV/atom
* calculated formation energy: -0.259 eV/atom

Structure (POSCAR):
```
LaHo3In2
1.0
8.190 -2.705 0.000
8.190 2.705 0.000
-4.438 0.000 8.091
La Ho In
2 6 4
Cartesian
1.398 0.000 1.396
10.544 0.000 6.695
-2.167 0.000 5.779
4.984 0.000 0.070
4.263 0.000 3.716
7.679 0.000 4.375
6.958 0.000 8.022
14.109 0.000 2.313
1.054 0.000 4.819
4.228 0.000 6.737
7.714 0.000 1.354
10.888 0.000 3.272
```


Record 8
Material: LaHo8In2
Method: DFT, PBE-GGA
State: relaxed

Output
* uncorrected energy: -0.15925 hartree per atom
* calculated formation energy: -0.058 eV/atom

Structure (POSCAR):
```
LaHo8In2
1.0
9.441 -3.415 0.000
9.441 3.415 0.000
-0.238 0.000 5.299
La Ho In
1 8 2
Cartesian
0.000 0.000 0.000
6.801 1.618 1.427
3.694 0.000 1.246
11.844 1.618 3.872
8.391 0.000 4.024
10.254 0.000 1.275
6.801 -1.618 1.427
14.951 0.000 4.053
11.844 -1.618 3.872
5.258 0.000 3.990
13.386 0.000 1.308
```


Record 9
Material: La2Ho3In3
Method: DFT, PBE-GGA
State: relaxed

Output
* uncorrected energy: -0.15883 hartree per atom
* calculated formation energy: -0.347 eV/atom

Structure (POSCAR):
```
La2Ho3In3
1.0
4.934 0.000 0.000
0.000 5.051 0.000
0.000 0.000 9.346
La Ho In
2 3 3
Cartesian
0.000 0.000 2.301
0.000 0.000 7.046
2.467 0.000 4.673
2.467 2.525 2.139
2.467 2.525 7.208
0.000 2.525 0.000
0.000 2.525 4.673
2.467 0.000 0.000
```


Record 10
Material: La9Ho4In11
Method: DFT, PBE-GGA
State: relaxed

Output
* uncorrected energy: -0.15769 hartree per atom
* calculated formation energy: -0.425 eV/atom

Structure (POSCAR):
```
La9Ho4In11
1.0
8.912 -11.460 0.000
8.912 11.460 0.000
0.000 0.000 3.492
La Ho In
9 4 11
Cartesian
0.000 0.000 0.000
6.948 5.778 0.000
6.515 1.870 0.000
10.875 5.778 0.000
6.515 -1.870 0.000
11.308 1.870 0.000
6.948 -5.778 0.000
11.308 -1.870 0.000
10.875 -5.778 0.000
2.640 2.237 0.000
2.640 -2.237 0.000
15.183 2.237 0.000
15.183 -2.237 0.000
4.502 4.178 1.746
8.912 8.368 1.746
4.124 0.000 1.746
8.912 3.542 1.746
4.502 -4.178 1.746
8.912 0.000 1.746
13.321 4.178 1.746
8.912 -3.542 1.746
13.699 0.000 1.746
8.912 -8.368 1.746
13.321 -4.178 1.746
```


Record 11
Material: La3Ho2In3
Method: DFT, PBE-GGA
State: relaxed

Output
* uncorrected energy: -0.16071 hartree per atom
* relative energy among the computed polymorphs: 0.014 eV/atom
* calculated formation energy: -0.354 eV/atom

Structure (POSCAR):
```
La3Ho2In3
1.0
8.983 0.000 0.000
-4.492 7.780 0.000
0.000 0.000 3.390
La Ho In
3 2 3
Cartesian
-3.396 5.883 0.000
1.095 1.897 0.000
6.793 0.000 0.000
0.000 5.186 0.000
4.492 2.593 0.000
-1.762 3.053 1.695
3.525 0.000 1.695
2.729 4.727 1.695
```


Record 12
Material: LaHo2In
Method: DFT, PBE-GGA
State: relaxed

Output
* uncorrected energy: -0.16001 hartree per atom
* relative energy among the computed polymorphs: 0.102 eV/atom
* calculated formation energy: -0.149 eV/atom

Structure (POSCAR):
```
LaHo2In
1.0
0.000 3.912 3.912
3.912 0.000 3.912
3.912 3.912 0.000
La Ho In
1 2 1
Cartesian
0.000 0.000 0.000
3.912 3.912 3.912
5.869 5.869 5.869
1.956 1.956 1.956
```


Record 13
Material: La5HoIn6
Method: DFT, PBE-GGA
State: relaxed

Output
* uncorrected energy: -0.15829 hartree per atom
* calculated formation energy: -0.504 eV/atom

Structure (POSCAR):
```
La5HoIn6
1.0
4.786 -8.334 0.000
4.786 8.334 0.000
-3.209 0.000 4.524
La Ho In
5 1 6
Cartesian
0.000 0.000 0.000
3.182 5.619 2.262
4.786 2.926 0.000
4.786 -2.926 0.000
3.182 -5.619 2.262
3.182 0.000 2.262
1.665 2.681 1.185
0.126 0.000 3.494
1.665 -2.681 1.185
4.698 2.681 3.339
6.238 0.000 1.030
4.698 -2.681 3.339
```


Record 14
Material: La3HoIn12
Method: DFT, PBE-GGA
State: relaxed

Output
* uncorrected energy: -0.13688 hartree per atom
* calculated formation energy: -0.461 eV/atom

Structure (POSCAR):
```
La3HoIn12
1.0
4.748 0.000 0.000
0.000 4.748 0.000
0.000 0.000 19.022
La Ho In
3 1 12
Cartesian
0.000 0.000 0.000
0.000 0.000 4.851
0.000 0.000 14.170
0.000 0.000 9.511
0.000 2.374 2.419
0.000 2.374 7.243
0.000 2.374 11.779
0.000 2.374 16.603
2.374 0.000 2.419
2.374 0.000 7.243
2.374 0.000 11.779
2.374 0.000 16.603
2.374 2.374 0.000
2.374 2.374 4.779
2.374 2.374 9.511
2.374 2.374 14.243
```


Record 15
Material: LaHo3In
Method: DFT, PBE-GGA
State: relaxed

Output
* uncorrected energy: -0.16072 hartree per atom
* relative energy among the computed polymorphs: 0.068 eV/atom
* calculated formation energy: -0.094 eV/atom

Structure (POSCAR):
```
LaHo3In
1.0
7.385 -6.603 0.000
7.385 6.603 0.000
-1.587 0.000 6.262
La Ho In
4 12 4
Cartesian
0.757 0.858 3.061
-0.037 -0.858 6.192
13.220 0.858 0.070
12.427 -0.858 3.201
5.921 3.979 0.025
4.068 2.479 2.313
3.153 0.923 5.463
8.056 3.979 3.106
3.947 -0.923 2.332
9.909 2.479 0.818
3.275 -2.479 5.445
9.237 0.923 3.930
5.127 -3.979 3.156
10.030 -0.923 0.799
9.115 -2.479 3.949
7.263 -3.979 6.238
6.195 1.865 4.697
6.988 1.209 1.566
6.195 -1.209 4.697
6.988 -1.865 1.566
```


Record 16
Material: La2HoIn3
Method: DFT, PBE-GGA
State: relaxed

Output
* uncorrected energy: -0.14987 hartree per atom
* relative energy among the computed polymorphs: 0.198 eV/atom
* calculated formation energy: -0.303 eV/atom

Structure (POSCAR):
```
La2HoIn3
1.0
1.913 -14.913 0.000
1.913 14.913 0.000
0.000 0.000 6.574
La Ho In
4 2 6
Cartesian
1.913 14.748 4.931
1.913 10.239 1.644
1.913 -10.239 4.931
1.913 -14.748 1.644
1.913 5.022 1.644
1.913 -5.022 4.931
1.913 7.412 4.931
1.913 2.353 3.358
1.913 2.353 6.503
1.913 -2.353 0.071
1.913 -2.353 3.216
1.913 -7.412 1.644
```


Record 17
Material: LaHo7In2
Method: DFT, PBE-GGA
State: relaxed

Output
* uncorrected energy: -0.14342 hartree per atom
* calculated formation energy: 0.342 eV/atom

Structure (POSCAR):
```
LaHo7In2
1.0
4.545 -7.533 0.000
4.545 7.533 0.000
0.000 0.000 5.602
La Ho In
1 7 2
Cartesian
0.000 0.000 0.000
1.641 1.861 2.801
4.545 3.927 0.000
1.641 -1.861 2.801
4.545 0.000 2.801
7.450 1.861 2.801
4.545 -3.927 0.000
7.450 -1.861 2.801
4.545 2.981 2.801
4.545 -2.981 2.801
```


Record 18
Material: La2Ho2In3
Method: DFT, PBE-GGA
State: relaxed

Output
* uncorrected energy: -0.15527 hartree per atom
* calculated formation energy: -0.336 eV/atom

Structure (POSCAR):
```
La2Ho2In3
1.0
-2.679 2.741 7.524
2.679 -2.741 7.524
2.679 2.741 -7.524
La Ho In
2 2 3
Cartesian
0.000 0.000 1.886
0.000 0.000 13.161
0.000 0.000 5.730
0.000 0.000 9.317
2.679 0.000 3.751
0.000 2.741 0.000
0.000 2.741 3.772
```


Record 19
Material: La2HoIn
Method: DFT, PBE-GGA
State: relaxed

Output
* uncorrected energy: -0.16478 hartree per atom
* relative energy among the computed polymorphs: 0.082 eV/atom
* calculated formation energy: -0.191 eV/atom

Structure (POSCAR):
```
La2HoIn
1.0
3.739 0.000 0.000
0.000 3.739 0.000
0.000 0.000 9.414
La Ho In
2 1 1
Cartesian
0.000 0.000 2.161
0.000 0.000 7.254
1.870 1.870 4.707
1.870 1.870 0.000
```


Record 20
Material: La2HoIn
Method: DFT, PBE-GGA
State: relaxed

Output
* uncorrected energy: -0.16780 hartree per atom
* relative energy among the computed polymorphs: 0.000 eV/atom
* calculated formation energy: -0.273 eV/atom

Structure (POSCAR):
```
La2HoIn
1.0
4.919 0.000 0.000
0.000 4.919 0.000
0.000 0.000 5.129
La Ho In
2 1 1
Cartesian
0.000 2.459 0.000
2.459 0.000 0.000
0.000 0.000 2.564
2.459 2.459 2.564
```